No. 1
DFT (PBE) results for an optimized crystal structure of NaTl2In3.

abc: 4.756 7.610 9.908
angles: 88.21 103.89 90.00
Fractional coordinates of all 12 atoms:
Na  0.150  0.283  0.300
Na  0.850  0.717  0.700
Tl  0.460  0.787  0.921
Tl  0.540  0.213  0.079
Tl  0.230  0.661  0.459
Tl  0.770  0.339  0.541
In  0.692  0.967  0.384
In  0.073  0.889  0.146
In  0.389  0.397  0.777
In  0.611  0.603  0.223
In  0.927  0.111  0.854
In  0.308  0.033  0.616

Final energy (eV/atom): -2.39
SG: C2/m (12)
Formation energy from the elements (eV per atom): -0.01
Total moment (Bohr magnetons per cell): 0.00
E above lowest polymorph (eV/atom): 0.030

=====

No. 2
DFT (PBE) results for an optimized crystal structure of NaTl10In2.

abc: 6.419 8.605 8.661
angles: 82.06 68.25 68.10
Fractional coordinates of all 13 atoms:
Na  0.000  0.000  0.000
Tl  0.353  0.642  0.652
Tl  0.647  0.358  0.348
Tl  0.995  0.358  0.652
Tl  0.005  0.642  0.348
Tl  0.000  0.000  0.500
Tl  0.500  0.000  0.500
Tl  0.290  0.213  0.206
Tl  0.710  0.787  0.794
Tl  0.503  0.787  0.206
Tl  0.497  0.213  0.794
In  0.000  0.500  0.000
In  0.500  0.500  0.000

Final energy (eV/atom): -2.31
SG: Fmmm (69)
Formation energy from the elements (eV per atom): 0.03
Total moment (Bohr magnetons per cell): 0.00

=====

No. 3
DFT (PBE) results for an optimized crystal structure of NaTl2In3.

abc: 6.018 6.018 9.804
angles: 82.99 82.99 99.33
Fractional coordinates of all 12 atoms:
Na  0.857  0.143  0.250
Na  0.143  0.857  0.750
Tl  0.056  0.693  0.111
Tl  0.307  0.944  0.389
Tl  0.944  0.307  0.889
Tl  0.693  0.056  0.611
In  0.805  0.624  0.457
In  0.376  0.195  0.043
In  0.195  0.376  0.543
In  0.624  0.805  0.957
In  0.482  0.518  0.250
In  0.518  0.482  0.750

Final energy (eV/atom): -2.42
SG: C2/c (15)
Formation energy from the elements (eV per atom): -0.04
Total moment (Bohr magnetons per cell): 0.00
E above lowest polymorph (eV/atom): 0.000

=====

No. 4
DFT (PBE) results for an optimized crystal structure of Na3Tl12In.

abc: 4.875 4.875 19.637
angles: 90.00 90.00 90.00
Fractional coordinates of all 16 atoms:
Na  0.000  0.000  0.253
Na  0.000  0.000  0.500
Na  0.000  0.000  0.747
Tl  0.500  0.500  0.000
Tl  0.500  0.500  0.254
Tl  0.500  0.500  0.500
Tl  0.500  0.500  0.746
Tl  0.500  0.000  0.128
Tl  0.500  0.000  0.377
Tl  0.500  0.000  0.623
Tl  0.500  0.000  0.872
Tl  0.000  0.500  0.128
Tl  0.000  0.500  0.377
Tl  0.000  0.500  0.623
Tl  0.000  0.500  0.872
In  0.000  0.000  0.000

Final energy (eV/atom): -2.24
SG: P4/mmm (123)
Formation energy from the elements (eV per atom): -0.04
Total moment (Bohr magnetons per cell): 0.00

=====

No. 5
DFT (PBE) results for an optimized crystal structure of Na3TlIn.

abc: 5.873 5.873 5.873
angles: 90.00 90.00 90.00
Fractional coordinates of all 5 atoms:
Na  0.000  0.500  0.000
Na  0.000  0.000  0.500
Na  0.500  0.000  0.000
Tl  0.500  0.500  0.500
In  0.000  0.000  0.000

Final energy (eV/atom): -1.61
SG: Pm-3m (221)
Formation energy from the elements (eV per atom): 0.20
Total moment (Bohr magnetons per cell): 0.00
E above lowest polymorph (eV/atom): 0.312

=====

No. 6
DFT (PBE) results for an optimized crystal structure of Na4Tl4In.

abc: 5.027 7.545 7.545
angles: 83.63 70.54 70.54
Fractional coordinates of all 9 atoms:
Na  0.165  0.169  0.000
Na  0.835  0.831  0.000
Na  0.834  0.500  0.331
Na  0.166  0.500  0.669
Tl  0.500  0.169  0.332
Tl  0.500  0.831  0.668
Tl  0.168  0.832  0.331
Tl  0.832  0.168  0.669
In  0.500  0.500  0.000

Final energy (eV/atom): -2.04
SG: I4/mmm (139)
Formation energy from the elements (eV per atom): -0.10
Total moment (Bohr magnetons per cell): 0.00

=====

No. 7
DFT (PBE) results for an optimized crystal structure of Na2Tl2In3.

abc: 5.233 3.418 11.328
angles: 90.00 77.23 90.00
Fractional coordinates of all 7 atoms:
Na  0.142  0.500  0.713
Na  0.858  0.500  0.287
Tl  0.424  0.000  0.154
Tl  0.576  0.000  0.846
In  0.281  0.000  0.436
In  0.000  0.000  0.000
In  0.719  0.000  0.564

Final energy (eV/atom): -2.29
SG: P2/m (10)
Formation energy from the elements (eV per atom): -0.06
Total moment (Bohr magnetons per cell): 0.00
E above lowest polymorph (eV/atom): 0.016

=====

No. 8
DFT (PBE) results for an optimized crystal structure of Na3Tl5In2.

abc: 10.705 9.404 9.631
angles: 119.22 123.76 90.00
Fractional coordinates of all 20 atoms:
Na  0.250  0.000  0.000
Na  0.750  0.000  0.000
Na  0.628  0.409  0.255
Na  0.372  0.591  0.745
Na  0.128  0.846  0.255
Na  0.872  0.154  0.745
Tl  0.250  0.500  0.000
Tl  0.750  0.500  0.000
Tl  0.005  0.755  0.509
Tl  0.495  0.245  0.491
Tl  0.995  0.245  0.491
Tl  0.505  0.755  0.509
Tl  0.868  0.491  0.737
Tl  0.132  0.509  0.263
Tl  0.368  0.245  0.737
Tl  0.632  0.755  0.263
In  0.879  0.820  0.758
In  0.121  0.180  0.242
In  0.379  0.937  0.758
In  0.621  0.063  0.242

Final energy (eV/atom): -2.11
SG: Ibam (72)
Formation energy from the elements (eV per atom): 0.02
Total moment (Bohr magnetons per cell): 0.00
E above lowest polymorph (eV/atom): 0.000

=====

No. 9
DFT (PBE) results for an optimized crystal structure of NaTl5In.

abc: 4.974 4.974 8.794
angles: 90.00 90.00 90.00
Fractional coordinates of all 7 atoms:
Na  0.000  0.000  0.500
Tl  0.000  0.500  0.779
Tl  0.000  0.500  0.221
Tl  0.500  0.000  0.779
Tl  0.500  0.000  0.221
Tl  0.500  0.500  0.500
In  0.500  0.500  0.000

Final energy (eV/atom): -2.25
SG: P4/mmm (123)
Formation energy from the elements (eV per atom): 0.02
Total moment (Bohr magnetons per cell): 0.00
E above lowest polymorph (eV/atom): 0.000

=====

No. 10
DFT (PBE) results for an optimized crystal structure of Na4Tl2In.

abc: 3.543 11.096 11.096
angles: 90.00 90.00 90.00
Fractional coordinates of all 14 atoms:
Na  0.000  0.081  0.309
Na  0.000  0.919  0.691
Na  0.500  0.191  0.581
Na  0.500  0.809  0.419
Na  0.500  0.419  0.809
Na  0.500  0.581  0.191
Na  0.000  0.309  0.081
Na  0.000  0.691  0.919
Tl  0.000  0.166  0.834
Tl  0.000  0.834  0.166
Tl  0.500  0.666  0.666
Tl  0.500  0.334  0.334
In  0.500  0.000  0.000
In  0.000  0.500  0.500

Final energy (eV/atom): -1.86
SG: P4_2/mnm (136)
Formation energy from the elements (eV per atom): -0.04
Total moment (Bohr magnetons per cell): 0.00
E above lowest polymorph (eV/atom): 0.035

=====

No. 11
DFT (PBE) results for an optimized crystal structure of Na9TlIn4.

abc: 10.051 10.017 10.017
angles: 120.00 90.00 90.00
Fractional coordinates of all 28 atoms:
Na  0.053  0.806  0.613
Na  0.053  0.806  0.194
Na  0.053  0.387  0.194
Na  0.947  0.194  0.387
Na  0.947  0.194  0.806
Na  0.947  0.613  0.806
Na  0.553  0.194  0.387
Na  0.553  0.194  0.806
Na  0.553  0.613  0.806
Na  0.447  0.806  0.613
Na  0.447  0.806  0.194
Na  0.447  0.387  0.194
Na  0.250  0.466  0.931
Na  0.250  0.466  0.534
Na  0.250  0.069  0.534
Na  0.750  0.534  0.069
Na  0.750  0.534  0.466
Na  0.750  0.931  0.466
Tl  0.250  0.667  0.333
Tl  0.750  0.333  0.667
In  0.250  0.110  0.221
In  0.250  0.110  0.890
In  0.250  0.779  0.890
In  0.750  0.890  0.779
In  0.750  0.890  0.110
In  0.750  0.221  0.110
In  0.000  0.000  0.000
In  0.500  0.000  0.000

Final energy (eV/atom): -1.89
SG: P6_3/mmc (194)
Formation energy from the elements (eV per atom): -0.09
Total moment (Bohr magnetons per cell): 0.00

=====

No. 12
DFT (PBE) results for an optimized crystal structure of Na3Tl3In8.

abc: 5.009 9.372 9.372
angles: 80.66 74.50 74.50
Fractional coordinates of all 14 atoms:
Na  0.500  0.500  0.500
Na  0.793  0.207  0.207
Na  0.207  0.793  0.793
Tl  0.500  0.000  0.000
Tl  0.000  0.826  0.174
Tl  0.000  0.174  0.826
In  0.652  0.081  0.615
In  0.348  0.919  0.385
In  0.652  0.615  0.081
In  0.348  0.385  0.919
In  0.856  0.765  0.524
In  0.144  0.235  0.476
In  0.856  0.524  0.765
In  0.144  0.476  0.235

Final energy (eV/atom): -2.40
SG: Immm (71)
Formation energy from the elements (eV per atom): -0.05
Total moment (Bohr magnetons per cell): 0.00

=====

No. 13
DFT (PBE) results for an optimized crystal structure of Na3Tl3In5.

abc: 3.369 10.594 10.594
angles: 120.00 90.00 90.00
Fractional coordinates of all 11 atoms:
Na  0.000  0.585  0.000
Na  0.000  0.000  0.585
Na  0.000  0.415  0.415
Tl  0.500  0.829  0.000
Tl  0.500  0.171  0.171
Tl  0.500  0.000  0.829
In  0.500  0.667  0.333
In  0.500  0.333  0.667
In  0.500  0.338  0.000
In  0.500  0.662  0.662
In  0.500  0.000  0.338

Final energy (eV/atom): -2.19
SG: P-62m (189)
Formation energy from the elements (eV per atom): 0.06
Total moment (Bohr magnetons per cell): 0.00

=====

No. 14
DFT (PBE) results for an optimized crystal structure of Na2Tl2In.

abc: 8.944 8.944 3.583
angles: 90.00 90.00 90.00
Fractional coordinates of all 10 atoms:
Na  0.366  0.866  0.000
Na  0.866  0.634  0.000
Na  0.634  0.134  0.000
Na  0.134  0.366  0.000
Tl  0.166  0.666  0.500
Tl  0.666  0.834  0.500
Tl  0.834  0.334  0.500
Tl  0.334  0.166  0.500
In  0.000  0.000  0.000
In  0.500  0.500  0.000

Final energy (eV/atom): -2.04
SG: P4/mbm (127)
Formation energy from the elements (eV per atom): -0.02
Total moment (Bohr magnetons per cell): 0.00
E above lowest polymorph (eV/atom): 0.095

=====

No. 15
DFT (PBE) results for an optimized crystal structure of Na5TlIn2.

abc: 5.551 5.551 19.835
angles: 90.00 90.00 120.00
Fractional coordinates of all 16 atoms:
Na  0.000  0.000  0.345
Na  0.000  0.000  0.155
Na  0.667  0.333  0.250
Na  0.000  0.000  0.845
Na  0.667  0.333  0.054
Na  0.333  0.667  0.750
Na  0.333  0.667  0.946
Na  0.333  0.667  0.554
Na  0.667  0.333  0.446
Na  0.000  0.000  0.655
Tl  0.333  0.667  0.250
Tl  0.667  0.333  0.750
In  0.667  0.333  0.607
In  0.333  0.667  0.107
In  0.333  0.667  0.393
In  0.667  0.333  0.893

Final energy (eV/atom): -1.83
SG: P6_3/mmc (194)
Formation energy from the elements (eV per atom): -0.03
Total moment (Bohr magnetons per cell): 0.00
E above lowest polymorph (eV/atom): 0.031

=====

No. 16
DFT (PBE) results for an optimized crystal structure of NaTl7In5.

abc: 4.587 6.103 31.653
angles: 112.11 90.00 112.07
Fractional coordinates of all 26 atoms:
Na  0.908  0.815  0.271
Na  0.055  0.111  0.730
Tl  0.559  0.119  0.231
Tl  0.402  0.805  0.769
Tl  0.822  0.643  0.038
Tl  0.479  0.958  0.999
Tl  0.332  0.664  0.539
Tl  0.634  0.267  0.462
Tl  0.215  0.430  0.192
Tl  0.748  0.496  0.809
Tl  0.713  0.427  0.691
Tl  0.250  0.500  0.309
Tl  0.872  0.745  0.153
Tl  0.090  0.181  0.847
Tl  0.021  0.043  0.616
Tl  0.943  0.887  0.384
In  0.129  0.259  0.959
In  0.782  0.563  0.922
In  0.174  0.348  0.078
In  0.608  0.215  0.350
In  0.357  0.715  0.650
In  0.983  0.967  0.500
In  0.293  0.586  0.424
In  0.673  0.346  0.576
In  0.436  0.872  0.886
In  0.527  0.054  0.114

Final energy (eV/atom): -2.43
SG: Cm (8)
Formation energy from the elements (eV per atom): 0.00
Total moment (Bohr magnetons per cell): 0.00
E above lowest polymorph (eV/atom): 0.000

=====

No. 17
DFT (PBE) results for an optimized crystal structure of Na6Tl3In2.

abc: 5.445 5.445 23.524
angles: 45.50 45.50 70.21
Fractional coordinates of all 11 atoms:
Na  0.823  0.319  0.858
Na  0.319  0.823  0.858
Na  0.177  0.681  0.142
Na  0.681  0.177  0.142
Na  0.669  0.669  0.567
Na  0.331  0.331  0.433
Tl  0.000  0.000  0.000
Tl  0.816  0.816  0.371
Tl  0.184  0.184  0.629
In  0.338  0.338  0.292
In  0.662  0.662  0.708

Final energy (eV/atom): -1.89
SG: C2/m (12)
Formation energy from the elements (eV per atom): -0.03
Total moment (Bohr magnetons per cell): 0.00

=====

No. 18
DFT (PBE) results for an optimized crystal structure of Na4Tl4In3.

abc: 5.042 6.728 10.204
angles: 90.00 90.00 112.01
Fractional coordinates of all 11 atoms:
Na  0.752  0.503  0.763
Na  0.752  0.503  0.237
Na  0.898  0.795  0.500
Na  0.935  0.869  0.000
Tl  0.590  0.180  0.500
Tl  0.591  0.182  0.000
Tl  0.090  0.179  0.724
Tl  0.090  0.179  0.276
In  0.424  0.848  0.241
In  0.424  0.848  0.759
In  0.254  0.508  0.000

Final energy (eV/atom): -2.14
SG: Amm2 (38)
Formation energy from the elements (eV per atom): -0.05
Total moment (Bohr magnetons per cell): 0.00
E above lowest polymorph (eV/atom): 0.017

=====

No. 19
DFT (PBE) results for an optimized crystal structure of NaTl7In4.

abc: 5.787 9.849 7.576
angles: 79.17 67.55 72.91
Fractional coordinates of all 12 atoms:
Na  0.000  0.000  0.000
Tl  0.780  0.886  0.554
Tl  0.220  0.114  0.446
Tl  0.056  0.608  0.280
Tl  0.944  0.392  0.720
Tl  0.307  0.621  0.766
Tl  0.500  0.000  0.000
Tl  0.693  0.379  0.234
In  0.568  0.227  0.637
In  0.432  0.773  0.363
In  0.686  0.674  0.953
In  0.314  0.326  0.047

Final energy (eV/atom): -2.34
SG: C2/m (12)
Formation energy from the elements (eV per atom): 0.06
Total moment (Bohr magnetons per cell): 0.00
E above lowest polymorph (eV/atom): 0.084